CoCuRu2 | PBE-GGA | optimized geometry

crystal system: orthorhombic
energy: -7.2345 eV per atom
ΔE_f: 203.9 meV/atom
energy above the most stable polymorph in this dataset: 0 meV per atom
Fermi-level density of states: 5.56 states/eV/cell

Structure (CIF):
```
data_CoCuRu2
_space_group_name_H-M_alt 'P m m 2'
_space_group_IT_number 25
_cell_length_a 2.683
_cell_length_b 3.705
_cell_length_c 5.166
_cell_angle_alpha 90.00
_cell_angle_beta 90.00
_cell_angle_gamma 90.00
loop_
_space_group_symop_operation_xyz
'x,y,z'
'-x,-y,z'
'-x,y,z'
'x,-y,z'
loop_
_atom_site_label
_atom_site_type_symbol
_atom_site_fract_x
_atom_site_fract_y
_atom_site_fract_z
_atom_site_occupancy
Co1 Co 0.000 0.000 0.000 1
Cu1 Cu 0.500 0.500 0.229 1
Ru1 Ru 0.000 0.000 0.495 1
Ru2 Ru 0.500 0.500 0.737 1
```